Material: Sc2NiAg
Method: DFT, PBE
State: optimized geometry

Properties
- energy (eV/f.u.) = -21.1
- space group = No. 160

Cell: 9.118 9.118 9.118 Å, 20.02 20.02 20.02°
Fractional positions:
1 Sc 0.000 0.000 0.000
2 Sc 0.229 0.229 0.229
3 Ni 0.733 0.733 0.733
4 Ag 0.475 0.475 0.475

=====

Material: SmWC2
Method: DFT, PBE
State: optimized geometry

Properties
- energy (eV/f.u.) = -35.6
- space group = No. 160

Cell: 6.230 6.230 6.230 Å, 29.87 29.87 29.87°
Fractional positions:
1 Sm 0.000 0.000 0.000
2 W 0.825 0.825 0.825
3 C 0.228 0.228 0.228
4 C 0.427 0.427 0.427

=====

Material: PaTlF6
Method: DFT, PBE
State: optimized geometry

Properties
- raw formation energy (eV/atom) = -3.357
- space group = No. 12

Cell: 5.445 5.445 5.514 Å, 96.13 96.13 95.51°
Fractional positions:
1 Pa 0.000 0.000 0.000
2 Tl 0.500 0.500 0.500
3 F 0.094 0.732 0.729
4 F 0.268 0.906 0.271
5 F 0.273 0.273 0.919
6 F 0.727 0.727 0.081
7 F 0.732 0.094 0.729
8 F 0.906 0.268 0.271

=====

Material: Na3Sr2Pd2
Method: DFT, PBE
State: optimized geometry

Properties
- energy (eV/f.u.) = -19.9
- space group = No. 65

Cell: 12.206 12.206 4.184 Å, 90.00 90.00 158.79°
Fractional positions:
1 Na 0.000 0.000 0.000
2 Na 0.416 0.584 0.500
3 Na 0.584 0.416 0.500
4 Sr 0.183 0.817 0.000
5 Sr 0.817 0.183 0.000
6 Pd 0.285 0.715 0.500
7 Pd 0.715 0.285 0.500

=====

Material: GaGeSb
Method: DFT, PBE
State: optimized geometry

Properties
- raw formation energy (eV/atom) = 0.079
- space group = No. 12

Cell: 6.295 6.295 4.339 Å, 109.55 109.55 76.51°
Fractional positions:
1 Ga 0.175 0.175 0.446
2 Ga 0.825 0.825 0.554
3 Ge 0.326 0.326 0.083
4 Ge 0.674 0.674 0.917
5 Sb 0.248 0.752 0.000
6 Sb 0.752 0.248 0.000

=====

Material: Fe2Si2Rh
Method: DFT, PBE
State: optimized geometry

Properties
- raw formation energy (eV/atom) = 0.063
- space group = No. 139

Cell: 4.865 4.865 4.865 Å, 130.30 130.30 72.93°
Fractional positions:
1 Fe 0.132 0.132 0.000
2 Fe 0.868 0.868 0.000
3 Si 0.250 0.750 0.500
4 Si 0.750 0.250 0.500
5 Rh 0.500 0.500 0.000

=====

Material: YHf2ZnAs
Method: DFT, PBE
State: optimized geometry

Properties
- energy (eV/f.u.) = -29.5
- space group = No. 123

Cell: 5.035 5.035 4.845 Å, 90.00 90.00 90.00°
Fractional positions:
1 Y 0.000 0.000 0.000
2 Hf 0.000 0.500 0.500
3 Hf 0.500 0.000 0.500
4 Zn 0.500 0.500 0.500
5 As 0.500 0.500 0.000

=====

Material: MnVCo
Method: DFT, PBE
State: optimized geometry

Properties
- energy (eV/f.u.) = -25.1
- space group = No. 156

Cell: 4.056 4.056 2.435 Å, 90.00 90.00 120.00°
Fractional positions:
1 Mn 0.000 0.000 0.000
2 V 0.667 0.333 0.539
3 Co 0.333 0.667 0.038

=====

Material: BaSiRh2
Method: DFT, PBE
State: optimized geometry

Properties
- raw formation energy (eV/atom) = -0.189
- space group = No. 71

Cell: 5.369 5.369 5.369 Å, 140.04 112.67 81.26°
Fractional positions:
1 Ba 0.000 0.000 0.000
2 Si 0.500 0.500 0.000
3 Rh 0.324 0.824 0.500
4 Rh 0.676 0.176 0.500

=====

Material: Mn2ZnBr
Method: DFT, PBE
State: optimized geometry

Properties
- raw formation energy (eV/atom) = 0.464
- space group = No. 47

Cell: 3.158 4.349 5.263 Å, 90.00 90.00 90.00°
Fractional positions:
1 Mn 0.000 0.000 0.000
2 Mn 0.500 0.000 0.500
3 Zn 0.000 0.500 0.500
4 Br 0.500 0.500 0.000

=====

Material: Sm12Tl6Ru
Method: DFT, PBE
State: optimized geometry

Properties
- energy (eV/f.u.) = -83.3
- space group = No. 148

Cell: 8.496 8.496 8.496 Å, 94.07 94.07 94.07°
Fractional positions:
1 Sm 0.029 0.915 0.687
2 Sm 0.085 0.313 0.971
3 Sm 0.202 0.425 0.546
4 Sm 0.313 0.971 0.085
5 Sm 0.425 0.546 0.202
6 Sm 0.454 0.798 0.575
7 Sm 0.546 0.202 0.425
8 Sm 0.575 0.454 0.798
9 Sm 0.687 0.029 0.915
10 Sm 0.798 0.575 0.454
11 Sm 0.915 0.687 0.029
12 Sm 0.971 0.085 0.313
13 Tl 0.137 0.729 0.349
14 Tl 0.271 0.651 0.863
15 Tl 0.349 0.137 0.729
16 Tl 0.651 0.863 0.271
17 Tl 0.729 0.349 0.137
18 Tl 0.863 0.271 0.651
19 Ru 0.000 0.000 0.000

=====

Material: LiDyGa
Method: DFT, PBE
State: optimized geometry

Properties
- energy (eV/f.u.) = -10.5
- space group = No. 51

Cell: 4.440 3.554 8.497 Å, 90.00 90.00 90.00°
Fractional positions:
1 Li 0.250 0.000 0.087
2 Li 0.750 0.000 0.913
3 Dy 0.250 0.500 0.711
4 Dy 0.750 0.500 0.289
5 Ga 0.250 0.000 0.410
6 Ga 0.750 0.000 0.590

=====

Per-record total magnetization, μB/f.u.: 0.8; 0.0; 0.0; 0.0; 0.0; 2.3; 1.9; 0.0; 0.0; 7.7; 0.0; 0.0
Per-record calculated volume, Å³/f.u.: 77.71; 53.12; 160.67; 225.47; 75.65; 65.40; 122.82; 34.69; 88.96; 72.28; 608.44; 67.04